[1]
## KTlTc3 (GGA-PBE)

Data for an optimized crystal structure of KTlTc3.

Summary:
- Energy above the most stable polymorph in this dataset: 0 meV/atom
- Total magnetic moment: 1.786 μB per atom
- ρ: 6.1 g/cm³
- Formation energy from the elements: 2325 meV/atom

Cell: 5.2714 5.2714 5.2714 Å, 90.00 90.00 90.00°
Sites, in units of the cell vectors:
K 0.0000 0.0000 0.0000
Tl 0.5000 0.5000 0.5000
Tc 0.0000 0.5000 0.5000
Tc 0.5000 0.0000 0.5000
Tc 0.5000 0.5000 0.0000

=====

[2]
## InCuP2 (GGA-PBE)

Data for an optimized crystal structure of InCuP2.

Summary:
- Total magnetic moment: 0.000 μB per atom
- ρ: 5.9 g/cm³
- Formation energy from the elements: 527 meV/atom

Cell: 4.1037 4.1037 8.0664 Å, 90.00 90.00 90.00°
Sites, in units of the cell vectors:
In 0.0000 0.0000 0.0000
In 0.5000 0.5000 0.5000
Cu 0.0000 0.5000 0.2500
Cu 0.5000 0.0000 0.7500
P 0.0000 0.0000 0.5000
P 0.0000 0.5000 0.7500
P 0.5000 0.0000 0.2500
P 0.5000 0.5000 0.0000

=====

[3]
## TmSc2Ru2 (GGA-PBE)

Data for an optimized crystal structure of TmSc2Ru2.

Summary:
- Energy above the most stable polymorph in this dataset: 82 meV/atom
- Total magnetic moment: 0.000 μB per atom
- ρ: 7.5 g/cm³
- Formation energy from the elements: -350 meV/atom

Cell: 5.2685 4.6010 8.7675 Å, 90.00 106.55 90.00°
Sites, in units of the cell vectors:
Tm 0.0185 0.2500 0.2573
Tm 0.9815 0.7500 0.7427
Sc 0.3253 0.2500 0.9916
Sc 0.4075 0.2500 0.6169
Sc 0.5925 0.7500 0.3831
Sc 0.6747 0.7500 0.0084
Ru 0.1305 0.7500 0.4399
Ru 0.2071 0.7500 0.0991
Ru 0.7929 0.2500 0.9009
Ru 0.8695 0.2500 0.5601

=====

[4]
## La4InBr6 (GGA-PBE)

Data for an optimized crystal structure of La4InBr6.

Summary:
- ΔE_f (raw): -1.3480 eV per atom
- Total magnetic moment: 0.000 μB per atom
- ρ: 4.9 g/cm³

Cell: 10.2559 10.2559 7.3747 Å, 90.00 90.00 90.00°
Sites, in units of the cell vectors:
La 0.0025 0.2500 0.0534
La 0.2500 0.0025 0.5534
La 0.2500 0.4975 0.5534
La 0.4975 0.2500 0.0534
La 0.5025 0.7500 0.9466
La 0.7500 0.5025 0.4466
La 0.7500 0.9975 0.4466
La 0.9975 0.7500 0.9466
In 0.2500 0.7500 0.7500
In 0.7500 0.2500 0.2500
Br 0.0359 0.5359 0.2500
Br 0.0359 0.9641 0.2500
Br 0.2500 0.2500 0.2934
Br 0.2500 0.2500 0.7934
Br 0.4641 0.5359 0.2500
Br 0.4641 0.9641 0.2500
Br 0.5359 0.0359 0.7500
Br 0.5359 0.4641 0.7500
Br 0.7500 0.7500 0.2066
Br 0.7500 0.7500 0.7066
Br 0.9641 0.0359 0.7500
Br 0.9641 0.4641 0.7500

=====

[5]
## AsSeF (GGA-PBE)

Data for an optimized crystal structure of AsSeF.

Summary:
- ΔE_f (raw): -0.7339 eV per atom
- Energy above the most stable polymorph in this dataset: 186 meV/atom
- Total magnetic moment: 0.000 μB per atom
- ρ: 3.3 g/cm³

Cell: 4.3511 5.2495 7.9565 Å, 88.12 74.22 89.91°
Sites, in units of the cell vectors:
As 0.0855 0.0145 0.3295
As 0.9145 0.9855 0.6705
Se 0.3526 0.8656 0.7950
Se 0.6474 0.1344 0.2050
F 0.0930 0.6744 0.3168
F 0.9070 0.3256 0.6832

=====

[6]
## NpS2ClO8 (GGA-PBE)

Data for an optimized crystal structure of NpS2ClO8.

Summary:
- ΔE_f (raw): -1.5377 eV per atom
- Total magnetic moment: 0.167 μB per atom
- ρ: 4.4 g/cm³

Cell: 6.0363 6.0363 5.5920 Å, 90.00 90.00 120.00°
Sites, in units of the cell vectors:
Np 0.0000 0.0000 0.0000
S 0.3333 0.6667 0.7538
S 0.6667 0.3333 0.2462
Cl 0.0000 0.0000 0.5000
O 0.2010 0.4020 0.8570
O 0.2010 0.7990 0.8570
O 0.3333 0.6667 0.4973
O 0.4020 0.2010 0.1430
O 0.5980 0.7990 0.8570
O 0.6667 0.3333 0.5027
O 0.7990 0.2010 0.1430
O 0.7990 0.5980 0.1430

=====

[7]
## InFeSb2 (GGA-PBE)

Data for an optimized crystal structure of InFeSb2.

Summary:
- ΔE_f (raw): 0.1454 eV per atom
- Total magnetic moment: 0.236 μB per atom
- ρ: 7.2 g/cm³

Cell: 3.3971 4.8225 11.7140 Å, 90.00 90.00 90.00°
Sites, in units of the cell vectors:
In 0.0000 0.0000 0.0000
In 0.0000 0.5000 0.5000
Fe 0.5000 0.0000 0.8162
Fe 0.5000 0.5000 0.3162
Sb 0.0000 0.0000 0.6541
Sb 0.0000 0.5000 0.1541
Sb 0.5000 0.0000 0.3417
Sb 0.5000 0.5000 0.8417

=====

Copy entry 2 word for word.
## InCuP2 (GGA-PBE)

Data for an optimized crystal structure of InCuP2.

Summary:
- Total magnetic moment: 0.000 μB per atom
- ρ: 5.9 g/cm³
- Formation energy from the elements: 527 meV/atom

Cell: 4.1037 4.1037 8.0664 Å, 90.00 90.00 90.00°
Sites, in units of the cell vectors:
In 0.0000 0.0000 0.0000
In 0.5000 0.5000 0.5000
Cu 0.0000 0.5000 0.2500
Cu 0.5000 0.0000 0.7500
P 0.0000 0.0000 0.5000
P 0.0000 0.5000 0.7500
P 0.5000 0.0000 0.2500
P 0.5000 0.5000 0.0000

=====

Q: Look up the total magnetic moment of the first one.
A: 1.786 μB per atom